Entry 1:
# LiTe2HI

A relaxed LiTe2HI crystal (PBE, Alexandria via LeMat-Bulk).

POSCAR file:
```
LiTe2HI
1.0
7.898 0.000 0.000
0.000 4.932 0.000
-3.202 0.000 8.079
Li Te H I
2 4 2 2
direct
0.000 0.000 0.000
0.500 0.500 0.000
0.034 0.000 0.674
0.400 0.000 0.507
0.534 0.500 0.674
0.900 0.500 0.507
0.061 0.500 0.420
0.561 0.000 0.420
0.192 0.500 0.083
0.692 0.000 0.083
```

Excess energy over the best structure of this formula in the dataset in eV per atom: 0.022
Magnetic moment in μB/cell: 0.000
SG: No. 8
Calculated density in g cm⁻³: 4.1

Entry 2:
# LiTe2HI

A relaxed LiTe2HI crystal (PBE, Alexandria via LeMat-Bulk).

POSCAR file:
```
LiTe2HI
1.0
5.050 0.000 0.000
2.294 5.397 0.000
2.503 1.409 5.739
Li Te H I
1 2 1 1
direct
0.000 0.000 0.000
0.112 0.264 0.513
0.628 0.778 0.452
0.342 0.422 0.496
0.623 0.765 0.959
```

Excess energy over the best structure of this formula in the dataset in eV per atom: 0.086
Magnetic moment in μB/cell: 0.000
SG: No. 1
Calculated density in g cm⁻³: 4.1